# Tb2NdDy5Sc, relaxed, DFT PBE
data_Tb2NdDy5Sc
_chemical_formula_sum 'Tb8 Nd4 Dy20 Sc4'
_symmetry_space_group_name_H-M 'C m c 21'
_symmetry_Int_Tables_number 36
_symmetry_space_group_name_Hall 'C 2c -2'
_cell_length_a 5.5763
_cell_length_b 19.7141
_cell_length_c 10.3984
_cell_angle_alpha 90.00
_cell_angle_beta 90.00
_cell_angle_gamma 90.00
loop_
_atom_site_label
_atom_site_type_symbol
_atom_site_fract_x
_atom_site_fract_y
_atom_site_fract_z
Tb1 Tb 0.0000 0.1117 0.0000
Tb2 Tb 0.0000 0.1139 0.4202
Nd1 Nd 0.0000 0.4131 0.1401
Dy1 Dy 0.0000 0.0186 0.7048
Dy2 Dy 0.0000 0.2768 0.0074
Dy3 Dy 0.0000 0.2978 0.3906
Dy4 Dy 0.0000 0.3756 0.7053
Dy5 Dy 0.0000 0.4812 0.4245
Sc1 Sc 0.0000 0.1962 0.6999
# DFT formation energy: 0.1683 eV per atom
# crystal system: orthorhombic
# DFT total energy: -0.17091 hartree per atom